DFT (PBE with a Hubbard U) results for an optimized crystal structure of LiIn2MoO6.

Results
The calculation puts the volume at 134 Å³/f.u. Its total magnetization is 0.00 μB/cell. As for the space group: P4mm (99). The calculation puts the final energy at -5.708 eV/atom. Its density of states at the Fermi level is 1.8 states/eV/f.u.

Unit cell a=5.0119 b=5.1708 c=5.1708 alpha=90.00 beta=90.00 gamma=90.00
Last column: nearest neighbours and their distance in Å.
Fractional coordinates of all 10 atoms:
O 0.2200 0.0000 0.0000  1 Mo 1.83
O 0.7283 0.2405 0.7595  1 Mo 1.90, 1 Li 2.07
O 0.7283 0.7595 0.2405  1 Mo 1.90, 1 Li 2.07
O 0.7283 0.7595 0.7595  1 Mo 1.90, 1 Li 2.07
In 0.9975 0.5000 0.0000  4 O 2.27
Li 0.5609 0.5000 0.5000  5 O 1.95-2.07
Mo 0.5861 0.0000 0.0000  5 O 1.83-1.90
O 0.1713 0.5000 0.5000  1 Li 1.95
In 0.9975 0.0000 0.5000  4 O 2.27
O 0.7283 0.2405 0.2405  1 Mo 1.90, 1 Li 2.07